Crystalline AcTbPm2Nd5 at its relaxed geometry. Source: the Alexandria database, functional GGA-PBE.

The calculation puts the final energy at -39.797 eV per formula unit. Its formation energy is 24.5 kJ/mol of atoms. As for the theoretical density: 7.139 g cm⁻³.

Structure (CIF):
```
data_AcTbPm2Nd5
_chemical_formula_sum 'Ac4 Tb4 Pm8 Nd20'
_cell_length_a 9.051
_cell_length_b 9.051
_cell_length_c 15.867
_cell_angle_alpha 90.00
_cell_angle_beta 90.00
_cell_angle_gamma 90.00
_symmetry_space_group_name_H-M 'I 4/m c m'
_symmetry_Int_Tables_number 140
_symmetry_space_group_name_Hall '-I 4 2c'
loop_
_atom_site_label
_atom_site_type_symbol
_atom_site_fract_x
_atom_site_fract_y
_atom_site_fract_z
_atom_site_occupancy
Ac1 Ac 0.000 0.000 0.250 1
Tb1 Tb 0.000 0.500 0.250 1
Pm1 Pm 0.116 0.384 0.000 1
Nd1 Nd 0.000 0.000 0.000 1
Nd2 Nd 0.204 0.296 0.367 1
```